No. 1
Below is a relaxed CuP2Se crystal, with properties calculated at the PBE level.

The structure in CIF format:
```
data_CuP2Se
_cell_length_a 5.538
_cell_length_b 7.111
_cell_length_c 3.223
_cell_angle_alpha 90.00
_cell_angle_beta 90.00
_cell_angle_gamma 90.00
_space_group_name_H-M_alt 'C m m m'
_space_group_IT_number 65
_space_group_name_Hall '-C 2 2'
loop_
_atom_site_label
_atom_site_type_symbol
_atom_site_fract_x
_atom_site_fract_y
_atom_site_fract_z
Cu1 Cu 0.000 0.000 0.000
P1 P 0.250 0.250 0.500
Se1 Se 0.000 0.500 0.000
```

excess energy over the best structure of this formula in the dataset: 2.45 eV per formula unit
Fermi-level density of states: 3.0 states/eV per cell
ΔE_f (raw): 662 meV per atom
calculated volume: 126.9 Å³ per cell
total magnetic moment: 0.0 μB per cell

---

No. 2
Below is a relaxed CuPSe2 crystal, with properties calculated at the PBE level.

The structure in CIF format:
```
data_CuPSe2
_cell_length_a 3.7267
_cell_length_b 3.7267
_cell_length_c 18.0362
_cell_angle_alpha 90.00
_cell_angle_beta 90.00
_cell_angle_gamma 120.00
_space_group_name_H-M_alt 'R -3 m'
_space_group_IT_number 166
_space_group_name_Hall '-R 3 2"'
loop_
_atom_site_label
_atom_site_type_symbol
_atom_site_fract_x
_atom_site_fract_y
_atom_site_fract_z
Cu1 Cu 0.0000 0.0000 0.0000
P1 P 0.0000 0.0000 0.5000
Se1 Se 0.0000 0.0000 0.2511
```

excess energy over the best structure of this formula in the dataset: 0.59 eV per formula unit
Fermi-level density of states: 3.3 states/eV per cell
ΔE_f (raw): 81 meV per atom
calculated volume: 217.0 Å³ per cell
total magnetic moment: 0.0 μB per cell

---

No. 3
Below is a relaxed CuPSe2 crystal, with properties calculated at the PBE level.

The structure in CIF format:
```
data_CuPSe2
_cell_length_a 3.648
_cell_length_b 3.648
_cell_length_c 5.749
_cell_angle_alpha 90.00
_cell_angle_beta 90.00
_cell_angle_gamma 90.00
_space_group_name_H-M_alt 'P 4 m m'
_space_group_IT_number 99
_space_group_name_Hall 'P 4 -2'
loop_
_atom_site_label
_atom_site_type_symbol
_atom_site_fract_x
_atom_site_fract_y
_atom_site_fract_z
Cu1 Cu 0.000 0.000 0.000
P1 P 0.500 0.500 0.504
Se1 Se 0.000 0.000 0.578
Se2 Se 0.500 0.500 0.106
```

excess energy over the best structure of this formula in the dataset: 0.38 eV per formula unit
Fermi-level density of states: 2.0 states/eV per cell
ΔE_f (raw): 30 meV per atom
calculated volume: 76.5 Å³ per cell
total magnetic moment: 0.0 μB per cell

---

No. 4
Below is a relaxed CuP2Se crystal, with properties calculated at the PBE level.

The structure in CIF format:
```
data_CuP2Se
_cell_length_a 2.600
_cell_length_b 4.861
_cell_length_c 10.289
_cell_angle_alpha 90.00
_cell_angle_beta 90.00
_cell_angle_gamma 90.00
_space_group_name_H-M_alt 'I m m m'
_space_group_IT_number 71
_space_group_name_Hall '-I 2 2'
loop_
_atom_site_label
_atom_site_type_symbol
_atom_site_fract_x
_atom_site_fract_y
_atom_site_fract_z
Cu1 Cu 0.000 0.000 0.000
P1 P 0.000 0.500 0.295
Se1 Se 0.000 0.000 0.500
```

excess energy over the best structure of this formula in the dataset: 1.71 eV per formula unit
Fermi-level density of states: 2.7 states/eV per cell
ΔE_f (raw): 478 meV per atom
calculated volume: 130.0 Å³ per cell
total magnetic moment: 0.0 μB per cell

---

No. 5
Below is a relaxed CuPSe2 crystal, with properties calculated at the PBE level.

The structure in CIF format:
```
data_CuPSe2
_cell_length_a 4.2603
_cell_length_b 4.2603
_cell_length_c 5.8217
_cell_angle_alpha 90.00
_cell_angle_beta 90.00
_cell_angle_gamma 120.00
_space_group_name_H-M_alt 'P 3 m 1'
_space_group_IT_number 156
_space_group_name_Hall 'P 3 -2"'
loop_
_atom_site_label
_atom_site_type_symbol
_atom_site_fract_x
_atom_site_fract_y
_atom_site_fract_z
Cu1 Cu 0.0000 0.0000 0.0000
P1 P 0.6667 0.3333 0.5017
Se1 Se 0.0000 0.0000 0.4136
Se2 Se 0.6667 0.3333 0.8928
```

excess energy over the best structure of this formula in the dataset: 0.40 eV per formula unit
Fermi-level density of states: 0.0 states/eV per cell
ΔE_f (raw): 35 meV per atom
calculated volume: 91.5 Å³ per cell
total magnetic moment: 0.0 μB per cell

---

No. 6
Below is a relaxed CuPSe2 crystal, with properties calculated at the PBE level.

The structure in CIF format:
```
data_CuPSe2
_cell_length_a 2.772
_cell_length_b 3.671
_cell_length_c 7.285
_cell_angle_alpha 90.00
_cell_angle_beta 91.01
_cell_angle_gamma 90.00
_space_group_name_H-M_alt 'P 1 2/m 1'
_space_group_IT_number 10
_space_group_name_Hall '-P 2y'
loop_
_atom_site_label
_atom_site_type_symbol
_atom_site_fract_x
_atom_site_fract_y
_atom_site_fract_z
Cu1 Cu 0.000 0.000 0.000
P1 P 0.000 0.000 0.500
Se1 Se 0.011 0.500 0.761
```

excess energy over the best structure of this formula in the dataset: 1.05 eV per formula unit
Fermi-level density of states: 1.2 states/eV per cell
ΔE_f (raw): 197 meV per atom
calculated volume: 74.1 Å³ per cell
total magnetic moment: 0.0 μB per cell

---

No. 7
Below is a relaxed CuPSe2 crystal, with properties calculated at the PBE level.

The structure in CIF format:
```
data_CuPSe2
_cell_length_a 3.238
_cell_length_b 3.238
_cell_length_c 6.493
_cell_angle_alpha 90.00
_cell_angle_beta 90.00
_cell_angle_gamma 90.00
_space_group_name_H-M_alt 'P 4/m m m'
_space_group_IT_number 123
_space_group_name_Hall '-P 4 2'
loop_
_atom_site_label
_atom_site_type_symbol
_atom_site_fract_x
_atom_site_fract_y
_atom_site_fract_z
Cu1 Cu 0.000 0.000 0.000
P1 P 0.000 0.000 0.500
Se1 Se 0.500 0.500 0.247
```

excess energy over the best structure of this formula in the dataset: 2.42 eV per formula unit
Fermi-level density of states: 2.6 states/eV per cell
ΔE_f (raw): 539 meV per atom
calculated volume: 68.1 Å³ per cell
total magnetic moment: 0.0 μB per cell

---

No. 8
Below is a relaxed CuP4Se crystal, with properties calculated at the PBE level.

The structure in CIF format:
```
data_CuP4Se
_cell_length_a 7.813
_cell_length_b 7.813
_cell_length_c 7.813
_cell_angle_alpha 90.00
_cell_angle_beta 90.00
_cell_angle_gamma 90.00
_space_group_name_H-M_alt 'F -4 3 m'
_space_group_IT_number 216
_space_group_name_Hall 'F -4 2 3'
loop_
_atom_site_label
_atom_site_type_symbol
_atom_site_fract_x
_atom_site_fract_y
_atom_site_fract_z
Cu1 Cu 0.000 0.000 0.000
P1 P 0.149 0.149 0.649
Se1 Se 0.250 0.250 0.250
```

Fermi-level density of states: 13.0 states/eV per cell
ΔE_f (raw): 701 meV per atom
calculated volume: 477.0 Å³ per cell
total magnetic moment: 0.0 μB per cell

---

No. 9
Below is a relaxed CuPSe3 crystal, with properties calculated at the PBE level.

The structure in CIF format:
```
data_CuPSe3
_cell_length_a 6.615
_cell_length_b 10.479
_cell_length_c 8.112
_cell_angle_alpha 90.00
_cell_angle_beta 113.30
_cell_angle_gamma 90.00
_space_group_name_H-M_alt 'C 1 2/m 1'
_space_group_IT_number 12
_space_group_name_Hall '-C 2y'
loop_
_atom_site_label
_atom_site_type_symbol
_atom_site_fract_x
_atom_site_fract_y
_atom_site_fract_z
Cu1 Cu 0.000 0.178 0.000
P1 P 0.048 0.500 0.149
Se1 Se 0.228 0.000 0.190
Se2 Se 0.237 0.323 0.239
```

excess energy over the best structure of this formula in the dataset: 0.00 eV per formula unit
Fermi-level density of states: 10.8 states/eV per cell
ΔE_f (raw): -85 meV per atom
calculated volume: 516.4 Å³ per cell
total magnetic moment: 0.0 μB per cell

---

No. 10
Below is a relaxed CuP2Se crystal, with properties calculated at the PBE level.

The structure in CIF format:
```
data_CuP2Se
_cell_length_a 2.504
_cell_length_b 3.762
_cell_length_c 8.280
_cell_angle_alpha 90.00
_cell_angle_beta 90.00
_cell_angle_gamma 90.00
_space_group_name_H-M_alt 'P m m m'
_space_group_IT_number 47
_space_group_name_Hall '-P 2 2'
loop_
_atom_site_label
_atom_site_type_symbol
_atom_site_fract_x
_atom_site_fract_y
_atom_site_fract_z
Cu1 Cu 0.000 0.000 0.000
P1 P 0.500 0.500 0.141
Se1 Se 0.000 0.000 0.500
```

excess energy over the best structure of this formula in the dataset: 1.27 eV per formula unit
Fermi-level density of states: 1.5 states/eV per cell
ΔE_f (raw): 367 meV per atom
calculated volume: 78.0 Å³ per cell
total magnetic moment: 0.0 μB per cell

---

No. 11
Below is a relaxed CuPSe2 crystal, with properties calculated at the PBE level.

The structure in CIF format:
```
data_CuPSe2
_cell_length_a 2.670
_cell_length_b 2.670
_cell_length_c 11.710
_cell_angle_alpha 90.00
_cell_angle_beta 90.00
_cell_angle_gamma 90.00
_space_group_name_H-M_alt 'P 4 m m'
_space_group_IT_number 99
_space_group_name_Hall 'P 4 -2'
loop_
_atom_site_label
_atom_site_type_symbol
_atom_site_fract_x
_atom_site_fract_y
_atom_site_fract_z
Cu1 Cu 0.000 0.000 0.000
P1 P 0.500 0.500 0.135
Se1 Se 0.000 0.000 0.447
Se2 Se 0.500 0.500 0.787
```

excess energy over the best structure of this formula in the dataset: 1.49 eV per formula unit
Fermi-level density of states: 2.1 states/eV per cell
ΔE_f (raw): 306 meV per atom
calculated volume: 83.5 Å³ per cell
total magnetic moment: 0.0 μB per cell

---

No. 12
Below is a relaxed CuP2Se6 crystal, with properties calculated at the PBE level.

The structure in CIF format:
```
data_CuP2Se6
_cell_length_a 12.720
_cell_length_b 13.337
_cell_length_c 6.062
_cell_angle_alpha 90.00
_cell_angle_beta 116.25
_cell_angle_gamma 90.00
_space_group_name_H-M_alt 'C 1 2/c 1'
_space_group_IT_number 15
_space_group_name_Hall '-C 2yc'
loop_
_atom_site_label
_atom_site_type_symbol
_atom_site_fract_x
_atom_site_fract_y
_atom_site_fract_z
Cu1 Cu 0.000 0.211 0.250
P1 P 0.219 0.417 0.298
Se1 Se 0.090 0.089 0.589
Se2 Se 0.131 0.281 0.102
Se3 Se 0.149 0.433 0.587
```

excess energy over the best structure of this formula in the dataset: 0.00 eV per formula unit
Fermi-level density of states: 18.0 states/eV per cell
ΔE_f (raw): 10 meV per atom
calculated volume: 922.3 Å³ per cell
total magnetic moment: 0.0 μB per cell

---

No. 13
Below is a relaxed Cu4PSe5 crystal, with properties calculated at the PBE level.

The structure in CIF format:
```
data_Cu4PSe5
_cell_length_a 8.220
_cell_length_b 8.220
_cell_length_c 5.129
_cell_angle_alpha 90.00
_cell_angle_beta 90.00
_cell_angle_gamma 90.00
_space_group_name_H-M_alt 'I 4/m'
_space_group_IT_number 87
_space_group_name_Hall '-I 4'
loop_
_atom_site_label
_atom_site_type_symbol
_atom_site_fract_x
_atom_site_fract_y
_atom_site_fract_z
Cu1 Cu 0.108 0.707 0.000
P1 P 0.000 0.000 0.500
Se1 Se 0.000 0.000 0.000
Se2 Se 0.085 0.703 0.500
```

Fermi-level density of states: 11.5 states/eV per cell
ΔE_f (raw): -29 meV per atom
calculated volume: 346.5 Å³ per cell
total magnetic moment: 0.0 μB per cell

---

No. 14
Below is a relaxed CuPSe2 crystal, with properties calculated at the PBE level.

The structure in CIF format:
```
data_CuPSe2
_cell_length_a 3.646
_cell_length_b 3.779
_cell_length_c 11.452
_cell_angle_alpha 90.00
_cell_angle_beta 90.00
_cell_angle_gamma 90.00
_space_group_name_H-M_alt 'I m m m'
_space_group_IT_number 71
_space_group_name_Hall '-I 2 2'
loop_
_atom_site_label
_atom_site_type_symbol
_atom_site_fract_x
_atom_site_fract_y
_atom_site_fract_z
Cu1 Cu 0.000 0.000 0.000
P1 P 0.000 0.000 0.500
Se1 Se 0.000 0.500 0.344
```

excess energy over the best structure of this formula in the dataset: 1.07 eV per formula unit
Fermi-level density of states: 4.3 states/eV per cell
ΔE_f (raw): 202 meV per atom
calculated volume: 157.8 Å³ per cell
total magnetic moment: 0.0 μB per cell